Computed, not measured: a relaxed structure of CoMoPd2O6 at the PBE+U level of DFT.

## Properties
theoretical density	6.414	g/cm3
crystal system	monoclinic
E	-6.06	eV per atom

Unit cell a=4.9823 b=6.9747 c=6.9747 alpha=83.52 beta=93.33 gamma=93.33
Closest atoms and distances in Å follow each position.
Element x y z (fractional)
Pd1 0.2451 0.8889 0.5911  4 O 2.03-2.16
Pd2 0.2549 0.4089 0.1111  4 O 2.03-2.16
Pd3 0.7451 0.5911 0.8889  4 O 2.03-2.16
Pd4 0.7549 0.1111 0.4089  4 O 2.03-2.16
O1 0.4534 0.8928 0.3320  1 Co 2.00, 1 Mo 2.02, 2 Pd 2.13-2.16
O2 0.5466 0.1072 0.6680  1 Co 2.00, 1 Mo 2.02, 2 Pd 2.13-2.16
O3 0.9534 0.3320 0.8928  1 Co 2.00, 1 Mo 2.02, 2 Pd 2.13-2.16
O4 0.4259 0.1719 0.0124  2 Co 1.91-1.94, 1 Pd 2.10
O5 0.9259 0.0124 0.1719  2 Co 1.91-1.94, 1 Pd 2.10
O6 0.0741 0.9876 0.8281  2 Co 1.91-1.94, 1 Pd 2.10
O7 0.4434 0.5032 0.7061  1 Mo 1.80
O8 0.9434 0.7061 0.5032  1 Mo 1.80
O9 0.5566 0.4968 0.2939  1 Mo 1.80
O10 0.0566 0.2939 0.4968  1 Mo 1.80
O11 0.5741 0.8281 0.9876  2 Co 1.91-1.94, 1 Pd 2.10
O12 0.0466 0.6680 0.1072  1 Co 2.00, 1 Mo 2.02, 2 Pd 2.13-2.16
Co1 0.7500 0.0753 0.9247  6 O 1.91-2.00
Co2 0.2500 0.9247 0.0753  6 O 1.91-2.00
Mo1 0.7500 0.7243 0.2757  2 O 1.80
Mo2 0.2500 0.2757 0.7243  2 O 1.80